--- one ---
# SiMo5

An optimized crystal structure of SiMo5 (PBE-GGA, the Alexandria database).

**Space group**: Cmmm, No. 65

abc: 6.8167 6.8167 4.3314
angles: 90.00 90.00 152.91
Closest atoms and distances in Å follow each position.
Sites, in units of the cell vectors:
Mo  0.5000  0.5000  0.0000  4 Mo 2.68, 4 Si 2.69
Mo  0.8371  0.1629  0.0000  8 Mo 2.68-2.81
Mo  0.6677  0.3323  0.5000  6 Mo 2.69-2.70, 2 Si 2.74
Mo  0.1629  0.8371  0.0000  8 Mo 2.68-2.81
Si  0.0000  0.0000  0.5000  8 Mo 2.69-2.74
Mo  0.3323  0.6677  0.5000  6 Mo 2.69-2.70, 2 Si 2.74

***

--- two ---
# SiMo5

An optimized crystal structure of SiMo5 (PBE-GGA, the Alexandria database).

**Space group**: Cmmm, No. 65

abc: 3.1956 4.3549 6.9307
angles: 108.31 90.00 90.00
Closest atoms and distances in Å follow each position.
Sites, in units of the cell vectors:
Mo  0.0000  0.6644  0.3288  8 Mo 2.69-2.76
Si  0.0000  0.0000  0.0000  8 Mo 2.70
Mo  0.5000  0.5000  0.0000  4 Mo 2.69, 4 Si 2.70
Mo  0.5000  0.1650  0.3301  2 Si 2.70, 6 Mo 2.70-2.76
Mo  0.0000  0.3356  0.6712  8 Mo 2.69-2.76
Mo  0.5000  0.8350  0.6699  2 Si 2.70, 6 Mo 2.70-2.76

***

Least stable: two